(1)
The following is a DFT calculation (PBE) of a relaxed structure of ErZrZnCu.

a b c (Å): 6.7994 6.7994 6.7994
angles (deg): 90.00 90.00 90.00
With the nearest neighbours (Å) after each atom.
Space group F-43m (No. 216)
Unique sites:
Er 0.0000 0.0000 0.0000  4 Cu 2.94, 4 Zn 2.94
Zr 0.0000 0.0000 0.5000  4 Cu 2.94, 4 Zn 2.94
Zn 0.2500 0.2500 0.7500  4 Zr 2.94, 4 Er 2.94
Cu 0.2500 0.2500 0.2500  4 Zr 2.94, 4 Er 2.94

Properties
Final energy (eV/atom): -4.801

---

(2)
The following is a DFT calculation (PBE) of a relaxed structure of TaAgCl.

a b c (Å): 4.5168 4.5168 3.0164
angles (deg): 90.00 90.00 120.00
With the nearest neighbours (Å) after each atom.
Space group P-6m2 (No. 187)
Unique sites:
Ta 0.0000 0.0000 0.0000  3 Cl 2.61
Ag 0.3333 0.6667 0.5000  6 Ta 3.01, 6 Cl 3.01, 2 Ag 3.02
Cl 0.6667 0.3333 0.0000  3 Ta 2.61

Properties
Energy relative to the lowest polymorph listed for this composition (kJ per mole of atoms): 55.6
Formation energy (no corrections) (meV per atom): 442

---

(3)
The following is a DFT calculation (PBE) of a relaxed structure of Tb6P2Se3O.

a b c (Å): 17.4873 3.9463 8.0375
angles (deg): 90.00 105.41 90.00
With the nearest neighbours (Å) after each atom.
Space group C2/m (No. 12)
Unique sites:
Tb 0.0025 0.0000 0.2178  2 O 2.63, 1 P 2.73, 1 Se 2.94
Tb 0.1473 0.5000 0.0845  1 O 2.48, 2 P 2.74
Tb 0.1706 0.5000 0.5711  3 P 2.75-2.79, 3 Se 2.88-2.91
P 0.1642 0.0000 0.3288  6 Tb 2.73-2.79
Se 0.0000 0.5000 0.5000  6 Tb 2.88-3.02
Se 0.1705 0.0000 0.8373  6 Tb 2.90-3.08
O 0.0000 0.5000 0.0000  6 Tb 2.48-2.63

Properties
Formation energy (no corrections) (meV per atom): -1890

---

(4)
The following is a DFT calculation (PBE) of a relaxed structure of Be3In.

a b c (Å): 3.6926 14.5026 3.6501
angles (deg): 90.00 90.00 90.00
With the nearest neighbours (Å) after each atom.
Space group Cmcm (No. 63)
Unique sites:
Be 0.0000 0.0381 0.2500  6 Be 2.13-2.26
Be 0.0000 0.1299 0.7500  5 Be 2.19-2.44
Be 0.0000 0.4510 0.2500  6 Be 2.19-2.31
In 0.0000 0.3156 0.7500  9 Be 2.68-2.81

Properties
Energy relative to the lowest polymorph listed for this composition (kJ per mole of atoms): 3.1

---

(5)
The following is a DFT calculation (PBE) of a relaxed structure of Th4AsH3Rh12.

a b c (Å): 8.5227 8.5227 8.5227
angles (deg): 90.00 90.00 90.00
With the nearest neighbours (Å) after each atom.
Space group Im-3m (No. 229)
Unique sites:
Th 0.2500 0.2500 0.2500  12 Rh 3.01-3.02
As 0.0000 0.0000 0.0000  6 Rh 2.37
H 0.0000 0.0000 0.5000  2 Rh 1.90
Rh 0.0000 0.0000 0.2776  1 H 1.90
Rh 0.0000 0.2500 0.5000  2 H 2.13

Properties
Final energy (eV/atom): -7.334

---

(6)
The following is a DFT calculation (PBE) of a relaxed structure of Y2ZrRe.

a b c (Å): 6.0782 10.0145 3.1004
angles (deg): 90.00 106.83 90.00
With the nearest neighbours (Å) after each atom.
Space group C2/m (No. 12)
Unique sites:
Y 0.2500 0.2500 0.0000  4 Y 3.04-3.10, 2 Zr 3.10, 2 Re 3.10
Zr 0.0000 0.0000 0.5000  2 Re 3.04, 2 Zr 3.10, 4 Y 3.10
Re 0.0000 0.5000 0.5000  2 Zr 3.04, 2 Re 3.10, 4 Y 3.10

Properties
Energy relative to the lowest polymorph listed for this composition (kJ per mole of atoms): 36.0

---

(7)
The following is a DFT calculation (PBE) of a relaxed structure of OsPbIO2.

a b c (Å): 4.1370 4.1370 5.6012
angles (deg): 90.00 90.00 90.00
With the nearest neighbours (Å) after each atom.
Space group P4/mmm (No. 123)
Unique sites:
Os 0.0000 0.0000 0.0000  4 O 2.07
Pb 0.5000 0.5000 0.5000  4 I 2.93
I 0.0000 0.0000 0.5000  2 Os 2.80, 4 Pb 2.93
O 0.0000 0.5000 0.0000  2 Os 2.07

Properties
Energy relative to the lowest polymorph listed for this composition (kJ per mole of atoms): 0.0
Formation energy (no corrections) (meV per atom): 79

---

(8)
The following is a DFT calculation (PBE) of a relaxed structure of La2TiSbI.

a b c (Å): 5.8822 5.8822 5.7177
angles (deg): 90.00 90.00 90.00
With the nearest neighbours (Å) after each atom.
Space group P4/mmm (No. 123)
Unique sites:
La 0.0000 0.5000 0.0000  2 I 2.94
Ti 0.0000 0.0000 0.5000  8 La 4.10, 4 Sb 4.16
Sb 0.5000 0.5000 0.5000  2 I 2.86
I 0.5000 0.5000 0.0000  2 Sb 2.86, 4 La 2.94

Properties
Formation energy (no corrections) (meV per atom): 718

---

(9)
The following is a DFT calculation (PBE) of a relaxed structure of Tc3IrW.

a b c (Å): 4.6123 4.6123 4.6123
angles (deg): 90.00 90.00 90.00
With the nearest neighbours (Å) after each atom.
Space group Pm-3m (No. 221)
Unique sites:
Tc 0.0000 0.0000 0.5000  2 Ir 2.31
Ir 0.0000 0.0000 0.0000  6 Tc 2.31
W 0.5000 0.5000 0.5000  12 Tc 3.26

Properties
Energy relative to the lowest polymorph listed for this composition (kJ per mole of atoms): 9.4

---

(10)
The following is a DFT calculation (PBE) of a relaxed structure of Y2SiHgN.

a b c (Å): 4.7383 4.7383 4.5780
angles (deg): 90.00 90.00 90.00
With the nearest neighbours (Å) after each atom.
Space group P4/mmm (No. 123)
Unique sites:
Y 0.0000 0.5000 0.0000  2 N 2.37
Si 0.0000 0.0000 0.5000  8 Y 3.29, 4 Hg 3.35
Hg 0.5000 0.5000 0.5000  2 N 2.29
N 0.5000 0.5000 0.0000  2 Hg 2.29, 4 Y 2.37

Properties
Formation energy (no corrections) (meV per atom): -482

---

(11)
The following is a DFT calculation (PBE) of a relaxed structure of V3SiIr.

a b c (Å): 4.2932 4.2932 4.2932
angles (deg): 90.00 90.00 90.00
With the nearest neighbours (Å) after each atom.
Space group Pm-3m (No. 221)
Unique sites:
V 0.0000 0.0000 0.5000  2 Si 2.15
Si 0.0000 0.0000 0.0000  6 V 2.15
Ir 0.5000 0.5000 0.5000  12 V 3.04

Properties
Energy relative to the lowest polymorph listed for this composition (kJ per mole of atoms): 92.7
Formation energy (no corrections) (meV per atom): 730

---

(12)
The following is a DFT calculation (PBE) of a relaxed structure of AlPBr.

a b c (Å): 3.8590 3.8590 5.2304
angles (deg): 90.00 90.00 120.00
With the nearest neighbours (Å) after each atom.
Space group P3m1 (No. 156)
Unique sites:
Al 0.0000 0.0000 0.0000  3 P 2.36
P 0.3333 0.6667 0.8493  3 Al 2.36
Br 0.6667 0.3333 0.3602  3 Al 2.92

Properties
Energy relative to the lowest polymorph listed for this composition (kJ per mole of atoms): 0.0
Formation energy (no corrections) (meV per atom): -185

---

For each record above, in turn, the calculated density of states at the Fermi level values are 3.29; 2.68; 3.90; 1.01; 17.37; 4.54; 4.09; 10.28; 9.15; 1.54; 7.45; 1.75 states/eV/f.u..